Run one
A geometry-optimized LiCd3Pd structure. Source: Alexandria via LeMat-Bulk, functional PBE.

Lattice parameters (Å, degrees): 4.549 4.571 9.136 90.00 104.31 90.00
Sites, in units of the cell vectors:
Li (0.158, 0.250, 0.316)
Li (0.842, 0.750, 0.684)
Cd (0.060, 0.750, 0.119)
Cd (0.250, 0.750, 0.501)
Cd (0.440, 0.750, 0.879)
Cd (0.560, 0.250, 0.121)
Cd (0.750, 0.250, 0.499)
Cd (0.940, 0.250, 0.881)
Pd (0.346, 0.250, 0.691)
Pd (0.654, 0.750, 0.309)

Values from the calculation:
space group: P2_1/m, No. 11
spin magnetization: 0.0 μB per formula unit

---

Run two
A geometry-optimized LiCd3Pd structure. Source: Alexandria via LeMat-Bulk, functional PBE.

Lattice parameters (Å, degrees): 5.349 5.349 7.717 107.01 107.01 98.14
Sites, in units of the cell vectors:
Li (0.171, 0.171, 0.427)
Li (0.829, 0.829, 0.573)
Cd (0.245, 0.617, 0.295)
Cd (0.272, 0.272, 0.884)
Cd (0.383, 0.755, 0.705)
Cd (0.617, 0.245, 0.295)
Cd (0.728, 0.728, 0.116)
Cd (0.755, 0.383, 0.705)
Pd (0.178, 0.822, 0.000)
Pd (0.822, 0.178, 0.000)

Values from the calculation:
space group: C2/m, No. 12
spin magnetization: 0.0 μB per formula unit

---

Run three
A geometry-optimized LiCd3Pd structure. Source: Alexandria via LeMat-Bulk, functional PBE.

Lattice parameters (Å, degrees): 5.195 5.195 5.195 90.00 90.00 90.00
Sites, in units of the cell vectors:
Li (0.000, 0.000, 0.000)
Cd (0.000, 0.500, 0.500)
Cd (0.500, 0.000, 0.500)
Cd (0.500, 0.500, 0.000)
Pd (0.500, 0.500, 0.500)

Values from the calculation:
space group: Pm-3m, No. 221
spin magnetization: 0.0 μB per formula unit

---

Most stable to least stable, the ends of the list are run one and run three.

---

Run one
A geometry-optimized Li7CdPd4 structure. Source: Alexandria via LeMat-Bulk, functional PBE.

Lattice parameters (Å, degrees): 5.283 5.283 9.102 114.03 114.03 53.32
Sites, in units of the cell vectors:
Li (0.000, 0.000, 0.000)
Li (0.165, 0.165, 0.627)
Li (0.193, 0.193, 0.906)
Li (0.387, 0.387, 0.547)
Li (0.613, 0.613, 0.453)
Li (0.807, 0.807, 0.094)
Li (0.835, 0.835, 0.373)
Cd (0.500, 0.500, 0.000)
Pd (0.102, 0.102, 0.304)
Pd (0.346, 0.346, 0.213)
Pd (0.654, 0.654, 0.787)
Pd (0.898, 0.898, 0.696)

Values from the calculation:
space group: C2/m, No. 12
spin magnetization: 0.0 μB per formula unit

---

Run two
A geometry-optimized Li7CdPd4 structure. Source: Alexandria via LeMat-Bulk, functional PBE.

Lattice parameters (Å, degrees): 5.533 6.002 6.321 72.78 65.19 78.87
Sites, in units of the cell vectors:
Li (0.000, 0.000, 0.000)
Li (0.163, 0.650, 0.358)
Li (0.250, 0.001, 0.500)
Li (0.415, 0.645, 0.816)
Li (0.585, 0.355, 0.184)
Li (0.750, 0.999, 0.500)
Li (0.837, 0.350, 0.642)
Cd (0.500, 0.000, 0.000)
Pd (0.090, 0.332, 0.168)
Pd (0.323, 0.326, 0.670)
Pd (0.677, 0.674, 0.330)
Pd (0.910, 0.668, 0.832)

Values from the calculation:
space group: P-1, No. 2
spin magnetization: 0.0 μB per formula unit

---

Most stable to least stable, the ends of the list are run two and run one.

---

Run one
A geometry-optimized Li3Cd2Pd4 structure. Source: Alexandria via LeMat-Bulk, functional PBE.

Lattice parameters (Å, degrees): 6.915 6.915 5.204 108.74 108.74 37.63
Sites, in units of the cell vectors:
Li (0.000, 0.000, 0.000)
Li (0.110, 0.110, 0.580)
Li (0.890, 0.890, 0.420)
Cd (0.339, 0.339, 0.657)
Cd (0.661, 0.661, 0.343)
Pd (0.214, 0.214, 0.100)
Pd (0.439, 0.439, 0.219)
Pd (0.561, 0.561, 0.781)
Pd (0.786, 0.786, 0.900)

Values from the calculation:
space group: C2/m, No. 12
spin magnetization: 0.0 μB per formula unit

---

Run two
A geometry-optimized Li3Cd2Pd4 structure. Source: Alexandria via LeMat-Bulk, functional PBE.

Lattice parameters (Å, degrees): 4.116 4.801 8.343 73.85 89.93 64.70
Sites, in units of the cell vectors:
Li (0.000, 0.000, 0.000)
Li (0.347, 0.308, 0.436)
Li (0.653, 0.692, 0.564)
Cd (0.323, 0.354, 0.772)
Cd (0.677, 0.646, 0.228)
Pd (0.016, 0.968, 0.340)
Pd (0.338, 0.322, 0.113)
Pd (0.662, 0.678, 0.887)
Pd (0.984, 0.032, 0.660)

Values from the calculation:
space group: P-1, No. 2
spin magnetization: 0.0 μB per formula unit

---

Most stable to least stable, the ends of the list are run two and run one.

---

Run one
A geometry-optimized Li3Cd4Pd structure. Source: Alexandria via LeMat-Bulk, functional PBE.

Lattice parameters (Å, degrees): 8.429 5.963 5.828 90.00 90.00 90.00
Sites, in units of the cell vectors:
Li (0.000, 0.000, 0.000)
Li (0.250, 0.263, 0.250)
Li (0.250, 0.737, 0.750)
Li (0.500, 0.000, 0.500)
Li (0.750, 0.263, 0.250)
Li (0.750, 0.737, 0.750)
Cd (0.000, 0.000, 0.500)
Cd (0.000, 0.500, 0.500)
Cd (0.250, 0.255, 0.750)
Cd (0.250, 0.745, 0.250)
Cd (0.500, 0.000, 0.000)
Cd (0.500, 0.500, 0.000)
Cd (0.750, 0.255, 0.750)
Cd (0.750, 0.745, 0.250)
Pd (0.000, 0.500, 0.000)
Pd (0.500, 0.500, 0.500)

Values from the calculation:
space group: Pmna, No. 53
spin magnetization: 0.0 μB per formula unit

---

Run two
A geometry-optimized Li3Cd4Pd structure. Source: Alexandria via LeMat-Bulk, functional PBE.

Lattice parameters (Å, degrees): 9.584 6.092 4.931 90.00 90.00 90.00
Sites, in units of the cell vectors:
Li (0.000, 0.000, 0.000)
Li (0.250, 0.000, 0.407)
Li (0.250, 0.500, 0.393)
Li (0.500, 0.000, 0.000)
Li (0.750, 0.000, 0.593)
Li (0.750, 0.500, 0.607)
Cd (0.000, 0.252, 0.500)
Cd (0.000, 0.748, 0.500)
Cd (0.250, 0.250, 0.914)
Cd (0.250, 0.750, 0.914)
Cd (0.500, 0.252, 0.500)
Cd (0.500, 0.748, 0.500)
Cd (0.750, 0.250, 0.086)
Cd (0.750, 0.750, 0.086)
Pd (0.000, 0.500, 0.000)
Pd (0.500, 0.500, 0.000)

Values from the calculation:
space group: Pmma, No. 51
spin magnetization: 0.0 μB per formula unit

---

Most stable to least stable, the ends of the list are run two and run one.